(1)
Computed, not measured: a relaxed structure of LaTm3Sc3 at the PBE-GGA level of DFT.

Structure (POSCAR):
```
LaTm3Sc3
1.0
4.150 2.396 7.016
-4.150 2.396 7.016
0.000 -4.792 7.016
La Tm Sc
2 6 6
Cartesian
0.000 0.000 3.143
0.000 0.000 17.904
-2.045 0.423 6.063
0.656 -1.982 6.063
-1.389 -1.559 14.984
1.389 1.559 6.063
-0.656 1.982 14.984
2.045 -0.423 14.984
-1.830 0.050 9.303
-0.958 -1.560 11.744
0.872 -1.610 9.303
-0.872 1.610 11.744
0.958 1.560 9.303
1.830 -0.050 11.744
```

Values from the calculation:
The value obtained for the spin magnetization is 0.0 μB/f.u. Its space group is R-3, No. 148. As for the uncorrected energy: -5.15 eV per atom. Its formation energy is 0.185 eV per atom.

(2)
Computed, not measured: a relaxed structure of LaTm12Sc7 at the PBE-GGA level of DFT.

Structure (POSCAR):
```
LaTm12Sc7
1.0
8.007 4.623 2.653
-8.007 4.623 2.653
0.000 -9.246 2.653
La Tm Sc
1 12 7
Cartesian
0.000 0.000 0.000
-2.257 -5.336 2.653
-5.750 0.713 2.653
-2.666 -1.539 2.512
2.257 -5.336 2.653
-3.493 4.623 2.653
2.666 -1.539 2.512
0.000 3.079 2.512
0.000 -3.079 5.445
-2.666 1.539 5.445
5.750 0.713 2.653
3.493 4.623 2.653
2.666 1.539 5.445
0.000 -3.114 2.155
-2.697 1.557 2.155
2.697 1.557 2.155
0.000 0.000 3.979
-2.697 -1.557 5.802
2.697 -1.557 5.802
0.000 3.114 5.802
```

Values from the calculation:
The value obtained for the spin magnetization is 0.0 μB/f.u. Its space group is R-3m, No. 166. As for the uncorrected energy: -4.87 eV per atom. Its formation energy is 0.271 eV per atom.

(3)
Computed, not measured: a relaxed structure of LaTm7Sc3 at the PBE-GGA level of DFT.

Structure (POSCAR):
```
LaTm7Sc3
1.0
6.904 0.000 0.000
-3.452 5.979 0.000
0.000 0.000 8.231
La Tm Sc
1 7 3
Cartesian
0.000 0.000 0.000
-1.712 2.998 0.074
1.716 0.991 5.421
0.000 3.986 5.476
1.712 2.998 0.074
0.000 5.962 0.074
5.188 0.991 5.421
3.452 3.998 5.421
0.000 2.021 2.777
-1.702 4.968 2.777
1.702 4.968 2.777
```

Values from the calculation:
The value obtained for the spin magnetization is 0.1 μB/f.u. Its space group is P3m1, No. 156. As for the uncorrected energy: -4.78 eV per atom. Its formation energy is 0.235 eV per atom.

(4)
Computed, not measured: a relaxed structure of LaTm4Sc2 at the PBE-GGA level of DFT.

Structure (POSCAR):
```
LaTm4Sc2
1.0
6.879 0.000 0.000
-1.696 8.157 0.000
-1.735 -3.990 7.361
La Tm Sc
2 8 4
Cartesian
0.000 0.000 0.000
-1.696 3.933 4.227
0.028 0.874 3.370
0.109 6.057 2.139
1.771 3.135 0.901
0.037 4.199 7.276
1.729 1.429 6.257
3.464 0.869 3.327
5.193 3.152 0.808
5.169 -1.417 5.236
-1.682 1.418 6.304
1.765 -1.428 5.292
1.767 4.012 4.257
3.452 6.043 2.091
```

Values from the calculation:
The value obtained for the spin magnetization is 0.0 μB/f.u. Its space group is P1, No. 1. As for the uncorrected energy: -5.02 eV per atom. The offset from the most stable computed form is 0 meV per atom. Its formation energy is 0.051 eV per atom.

(5)
Computed, not measured: a relaxed structure of La6TmSc at the PBE-GGA level of DFT.

Structure (POSCAR):
```
La6TmSc
1.0
5.147 0.000 0.000
0.000 5.147 0.000
0.000 0.000 10.283
La Tm Sc
6 1 1
Cartesian
0.000 0.000 0.000
0.000 0.000 5.141
0.000 2.573 2.535
0.000 2.573 7.747
2.573 0.000 2.535
2.573 0.000 7.747
2.573 2.573 5.141
2.573 2.573 0.000
```

Values from the calculation:
The value obtained for the spin magnetization is 0.0 μB/f.u. Its space group is P4/mmm, No. 123. As for the uncorrected energy: -5.03 eV per atom. The offset from the most stable computed form is 0 meV per atom. Its formation energy is 0.020 eV per atom.

(6)
Computed, not measured: a relaxed structure of LaTm4Sc2 at the PBE-GGA level of DFT.

Structure (POSCAR):
```
LaTm4Sc2
1.0
-2.761 2.761 7.842
2.761 -2.761 7.842
2.761 2.761 -7.842
La Tm Sc
1 4 2
Cartesian
0.000 0.000 0.000
2.761 0.000 0.000
0.000 0.000 2.946
0.000 2.761 0.000
0.000 0.000 12.738
0.000 0.000 6.198
0.000 0.000 9.486
```

Values from the calculation:
The value obtained for the spin magnetization is 0.0 μB/f.u. Its space group is I4/mmm, No. 139. As for the uncorrected energy: -4.29 eV per atom. The offset from the most stable computed form is 724 meV per atom. Its formation energy is 0.776 eV per atom.